The following is a DFT calculation (PBE-GGA) of Tb2Nd12Sm after structural relaxation.

a b c (Å): 6.859 6.859 25.094
angles (deg): 90.00 90.00 116.47
Positions (direct):
Tb (0.500, 0.000, 0.267)
Tb (0.000, 0.500, 0.272)
Tb (0.000, 0.500, 0.733)
Tb (0.500, 0.000, 0.728)
Nd (0.500, 0.500, 0.801)
Nd (0.000, 0.000, 0.801)
Nd (0.752, 0.748, 0.925)
Nd (0.252, 0.752, 0.869)
Nd (0.000, 0.000, 0.325)
Nd (0.248, 0.748, 0.131)
Nd (0.770, 0.270, 0.584)
Nd (0.500, 0.500, 0.325)
Nd (0.248, 0.252, 0.925)
Nd (0.748, 0.752, 0.075)
Nd (0.274, 0.226, 0.560)
Nd (0.730, 0.230, 0.416)
Nd (0.000, 0.000, 0.675)
Nd (0.226, 0.274, 0.440)
Nd (0.252, 0.248, 0.075)
Nd (0.774, 0.726, 0.440)
Nd (0.726, 0.774, 0.560)
Nd (0.000, 0.000, 0.199)
Nd (0.230, 0.730, 0.584)
Nd (0.500, 0.500, 0.675)
Nd (0.748, 0.248, 0.869)
Nd (0.500, 0.500, 0.199)
Nd (0.270, 0.770, 0.416)
Nd (0.752, 0.252, 0.131)
Sm (0.500, 0.000, 0.999)
Sm (0.000, 0.500, 0.001)

Computed properties:
Formation energy ... 152 meV/atom

---

The following is a DFT calculation (PBE-GGA) of CdP2 after structural relaxation.

a b c (Å): 5.185 5.185 8.125
angles (deg): 78.15 78.15 36.76
Positions (direct):
Cd (0.004, 0.004, 0.686)
Cd (0.996, 0.996, 0.314)
P (0.675, 0.675, 0.980)
P (0.278, 0.278, 0.296)
P (0.722, 0.722, 0.704)
P (0.325, 0.325, 0.020)

Computed properties:
Formation energy ... 192 meV/atom

---

The following is a DFT calculation (PBE-GGA) of TaTcPd3 after structural relaxation.

a b c (Å): 4.792 4.792 4.792
angles (deg): 90.00 90.00 90.00
Site moments in Bohr magnetons follow the coordinates.
Positions (direct):
Tc (0.500, 0.500, 0.500)  3.35
Pd (0.000, 0.500, 0.000)  -0.06
Pd (0.000, 0.000, 0.500)  -0.07
Pd (0.500, 0.000, 0.000)  0.02
Ta (0.000, 0.000, 0.000)  -0.25

Computed properties:
Formation energy ... 1335 meV/atom
ΔE to the lowest computed polymorph ... 0.000 eV per atom

---

The following is a DFT calculation (PBE-GGA) of Tb2PuSc after structural relaxation.

a b c (Å): 3.381 3.381 12.093
angles (deg): 81.96 81.96 60.00
Site moments in Bohr magnetons follow the coordinates.
Positions (direct):
Sc (0.500, 0.500, 0.500)  0.01
Tb (0.091, 0.091, 0.727)  -0.07
Tb (0.909, 0.909, 0.273)  -0.07
Pu (0.000, 0.000, 0.000)  -5.78

Computed properties:
Formation energy ... 265 meV/atom
ΔE to the lowest computed polymorph ... 0.154 eV per atom

---

The following is a DFT calculation (PBE-GGA) of Tl4As2Se5 after structural relaxation.

a b c (Å): 6.617 6.617 9.167
angles (deg): 72.49 72.49 70.23
Positions (direct):
Tl (0.931, 0.931, 0.034)
Tl (0.952, 0.952, 0.458)
Tl (0.371, 0.371, 0.137)
Tl (0.701, 0.701, 0.837)
As (0.361, 0.361, 0.761)
As (0.600, 0.600, 0.367)
Se (0.257, 0.754, 0.736)
Se (0.872, 0.388, 0.185)
Se (0.388, 0.872, 0.185)
Se (0.754, 0.257, 0.736)
Se (0.355, 0.355, 0.492)

Computed properties:
E_form (uncorrected) ... -0.272 eV/atom

---

The following is a DFT calculation (PBE-GGA) of KSrLa after structural relaxation.

a b c (Å): 11.037 10.774 3.912
angles (deg): 83.47 75.91 20.62
Positions (direct):
K (0.996, 0.996, 0.004)
La (0.326, 0.326, 0.674)
Sr (0.679, 0.679, 0.321)

Computed properties:
Formation energy ... 231 meV/atom
ΔE to the lowest computed polymorph ... 0.042 eV per atom

---

The following is a DFT calculation (PBE-GGA) of V2Pd7Pt after structural relaxation.

a b c (Å): 2.713 8.533 8.533
angles (deg): 121.16 90.00 90.00
Site moments in Bohr magnetons follow the coordinates.
Positions (direct):
V (0.500, 0.669, 0.331)  0.35
V (0.500, 0.331, 0.669)  0.35
Pd (0.000, 0.809, 0.191)  0.01
Pd (0.000, 0.191, 0.809)  0.01
Pd (0.500, 0.138, 0.342)  -0.02
Pd (0.500, 0.862, 0.658)  -0.02
Pd (0.500, 0.342, 0.138)  -0.02
Pd (0.500, 0.658, 0.862)  -0.02
Pd (0.500, 0.500, 0.500)  -0.01
Pt (0.000, 0.000, 0.000)  -0.02

Computed properties:
Formation energy ... 162 meV/atom

---

The following is a DFT calculation (PBE-GGA) of ZnAgTeO4 after structural relaxation.

a b c (Å): 5.344 5.344 5.762
angles (deg): 117.63 117.63 90.00
Positions (direct):
Zn (0.250, 0.750, 0.500)
Ag (0.000, 0.000, 0.000)
Te (0.500, 0.500, 0.000)
O (0.208, 0.129, 0.765)
O (0.364, 0.792, 0.235)
O (0.557, 0.636, 0.765)
O (0.871, 0.443, 0.235)

Computed properties:
E_form (uncorrected) ... -0.752 eV/atom

---

no.,total moment (μB per formula unit)
1,0.00
2,0.00
3,3.25
4,6.40
5,0.00
6,0.00
7,0.71
8,0.00